Entry 1:
Compound: PrHgSeO
Source: the Open Quantum Materials Database
Functional: GGA-PBE
Structure: relaxed

Cell: 5.089 5.379 9.051 Å, 90.00 90.00 90.00°
Fractional coordinates of all 8 atoms:
Se  0.000  0.140  0.810
Pr  0.500  0.560  0.357
O  0.500  0.157  0.409
O  0.500  0.657  0.591
Pr  0.500  0.060  0.643
Hg  0.000  0.135  0.189
Hg  0.000  0.635  0.811
Se  0.000  0.640  0.190

Properties
- ΔE to the lowest computed polymorph (eV per atom) = 0.248
- total DFT energy (no corrections) (Ry per atom) = -0.36161

---

Entry 2:
Compound: SrPmP
Source: the Open Quantum Materials Database
Functional: GGA-PBE
Structure: relaxed

Cell: 14.076 14.076 14.076 Å, 17.18 17.18 17.18°
Fractional coordinates of all 6 atoms:
P  0.926  0.926  0.926
Sr  0.550  0.550  0.550
P  0.074  0.074  0.074
Pm  0.705  0.705  0.705
Sr  0.450  0.450  0.450
Pm  0.295  0.295  0.295

Properties
- total DFT energy (no corrections) (Ry per atom) = -0.35211

---

Entry 3:
Compound: AlTcNiW
Source: the Open Quantum Materials Database
Functional: GGA-PBE
Structure: relaxed

Cell: 4.288 4.288 4.288 Å, 60.00 60.00 60.00°
Fractional coordinates of all 4 atoms:
Ni  0.750  0.750  0.750
Al  0.000  0.000  0.000
W  0.500  0.500  0.500
Tc  0.250  0.250  0.250

Properties
- total DFT energy (no corrections) (Ry per atom) = -0.61279